[1]
First-principles (PBE-GGA) data for a relaxed TlCu2Sb2 crystal, as listed in Alexandria via LeMat-Bulk.

The structure belongs to space group I4/mmm (No. 139); the cell edges are 4.547, 4.547 and 11.415 Å and the angles 90.00°, 90.00° and 90.00°. The inequivalent atoms are Tl at (0.000, 0.000, 0.000), Cu at (0.000, 0.500, 0.250) and Sb at (0.000, 0.000, 0.370).

As for the uncorrected formation energy: 0.08 eV per atom. The calculation puts the spin magnetization at 0.00 μB per cell. Its energy above the most stable polymorph in this dataset is 0.0 kJ/mol of formula units.

---

[2]
First-principles (PBE-GGA) data for a relaxed Tl2CuSb crystal, as listed in Alexandria via LeMat-Bulk.

The structure belongs to space group C2/m (No. 12); the cell edges are 5.995, 10.608 and 3.323 Å and the angles 90.00°, 90.30° and 90.00°. The inequivalent atoms are Tl at (0.250, 0.250, 0.000), Cu at (0.000, 0.000, 0.500) and Sb at (0.000, 0.500, 0.500).

As for the uncorrected formation energy: 0.32 eV per atom. The calculation puts the spin magnetization at 0.00 μB per cell. Its energy above the most stable polymorph in this dataset is 115.2 kJ/mol of formula units.

---

[3]
First-principles (PBE-GGA) data for a relaxed TlCu2Sb crystal, as listed in Alexandria via LeMat-Bulk.

The structure belongs to space group Imm2 (No. 44); the cell edges are 3.123, 4.377 and 11.864 Å and the angles 90.00°, 90.00° and 90.00°. The inequivalent atoms are Tl at (0.000, 0.000, 0.000), Cu at (0.000, 0.000, 0.540), Cu at (0.000, 0.500, 0.841) and Sb at (0.000, 0.500, 0.239).

As for the uncorrected formation energy: 0.26 eV per atom. The calculation puts the spin magnetization at 0.00 μB per cell.

---

[4]
First-principles (PBE-GGA) data for a relaxed TlCu2Sb crystal, as listed in Alexandria via LeMat-Bulk.

The structure belongs to space group P4mm (No. 99); the cell edges are 3.218, 3.218 and 7.891 Å and the angles 90.00°, 90.00° and 90.00°. The inequivalent atoms are Tl at (0.000, 0.000, 0.000), Cu at (0.000, 0.000, 0.394), Cu at (0.500, 0.500, 0.256) and Sb at (0.500, 0.500, 0.611).

As for the uncorrected formation energy: 0.18 eV per atom. The calculation puts the spin magnetization at 0.00 μB per cell.

---

[5]
First-principles (PBE-GGA) data for a relaxed TlCu2Sb crystal, as listed in Alexandria via LeMat-Bulk.

The structure belongs to space group P2/m (No. 10); the cell edges are 3.412, 4.019 and 6.117 Å and the angles 90.00°, 90.12° and 90.00°. The inequivalent atoms are Tl at (0.000, 0.000, 0.000), Cu at (0.493, 0.500, 0.790) and Sb at (0.500, 0.000, 0.500).

As for the uncorrected formation energy: 0.26 eV per atom. The calculation puts the spin magnetization at 0.00 μB per cell.

---

[6]
First-principles (PBE-GGA) data for a relaxed Tl3CuSb crystal, as listed in Alexandria via LeMat-Bulk.

The structure belongs to space group Pm-3m (No. 221); the cell edges are 5.258, 5.258 and 5.258 Å and the angles 90.00°, 90.00° and 90.00°. The inequivalent atoms are Tl at (0.000, 0.000, 0.500), Cu at (0.000, 0.000, 0.000) and Sb at (0.500, 0.500, 0.500).

As for the uncorrected formation energy: 0.22 eV per atom. The calculation puts the spin magnetization at 0.00 μB per cell. Its energy above the most stable polymorph in this dataset is 0.0 kJ/mol of formula units.

---

[7]
First-principles (PBE-GGA) data for a relaxed TlCu2Sb crystal, as listed in Alexandria via LeMat-Bulk.

The structure belongs to space group P4/mmm (No. 123); the cell edges are 3.465, 3.465 and 6.960 Å and the angles 90.00°, 90.00° and 90.00°. The inequivalent atoms are Tl at (0.000, 0.000, 0.000), Cu at (0.500, 0.500, 0.308) and Sb at (0.000, 0.000, 0.500).

As for the uncorrected formation energy: 0.29 eV per atom. The calculation puts the spin magnetization at 0.00 μB per cell.

---

[8]
First-principles (PBE-GGA) data for a relaxed Tl2CuSb crystal, as listed in Alexandria via LeMat-Bulk.

The structure belongs to space group P2/m (No. 10); the cell edges are 3.622, 5.521 and 5.406 Å and the angles 90.00°, 94.14° and 90.00°. The inequivalent atoms are Tl at (0.221, 0.000, 0.257), Cu at (0.500, 0.500, 0.500) and Sb at (0.500, 0.500, 0.000).

As for the uncorrected formation energy: 0.25 eV per atom. The calculation puts the spin magnetization at 0.00 μB per cell. Its energy above the most stable polymorph in this dataset is 86.8 kJ/mol of formula units.

---

[9]
First-principles (PBE-GGA) data for a relaxed Tl2CuSb crystal, as listed in Alexandria via LeMat-Bulk.

The structure belongs to space group I4/mmm (No. 139); the cell edges are 4.457, 4.457 and 10.305 Å and the angles 90.00°, 90.00° and 90.00°. The inequivalent atoms are Tl at (0.000, 0.500, 0.250), Cu at (0.000, 0.000, 0.000) and Sb at (0.000, 0.000, 0.500).

As for the uncorrected formation energy: 0.30 eV per atom. The calculation puts the spin magnetization at 0.00 μB per cell. Its energy above the most stable polymorph in this dataset is 106.6 kJ/mol of formula units.

---

[10]
First-principles (PBE-GGA) data for a relaxed Tl2CuSb crystal, as listed in Alexandria via LeMat-Bulk.

The structure belongs to space group Cmm2 (No. 35); the cell edges are 4.452, 5.095 and 9.086 Å and the angles 90.00°, 90.00° and 90.00°. The inequivalent atoms are Tl at (0.000, 0.000, 0.000), Tl at (0.000, 0.500, 0.317), Cu at (0.000, 0.000, 0.534) and Sb at (0.000, 0.500, 0.698).

As for the uncorrected formation energy: 0.12 eV per atom. The calculation puts the spin magnetization at 0.00 μB per cell. Its energy above the most stable polymorph in this dataset is 38.5 kJ/mol of formula units.

---

[11]
First-principles (PBE-GGA) data for a relaxed Tl2CuSb crystal, as listed in Alexandria via LeMat-Bulk.

The structure belongs to space group I-4m2 (No. 119); the cell edges are 5.291, 5.291 and 7.360 Å and the angles 90.00°, 90.00° and 90.00°. The inequivalent atoms are Tl at (0.000, 0.000, 0.000), Tl at (0.000, 0.500, 0.250), Cu at (0.000, 0.500, 0.750) and Sb at (0.000, 0.000, 0.500).

As for the uncorrected formation energy: 0.27 eV per atom. The calculation puts the spin magnetization at 0.00 μB per cell. Its energy above the most stable polymorph in this dataset is 96.7 kJ/mol of formula units.

---

[12]
First-principles (PBE-GGA) data for a relaxed TlCu2Sb crystal, as listed in Alexandria via LeMat-Bulk.

The structure belongs to space group F-43m (No. 216); the cell edges are 6.915, 6.915 and 6.915 Å and the angles 90.00°, 90.00° and 90.00°. The inequivalent atoms are Tl at (0.000, 0.000, 0.000), Cu at (0.000, 0.000, 0.500), Cu at (0.250, 0.250, 0.750) and Sb at (0.250, 0.250, 0.250).

As for the uncorrected formation energy: 0.51 eV per atom. The calculation puts the spin magnetization at 0.00 μB per cell.